Computed, not measured: an optimized crystal structure of SmHoSi2Pt2 at the GGA-PBE level of DFT.

POSCAR file:
```
SmHoSi2Pt2
1.0
-1.1967 -3.9535 0.4845
0.5492 1.5533 -3.8188
7.8416 -2.3527 0.1707
Sm Ho Si Pt
1 1 2 2
Cartesian
0.0000 0.0000 0.0000
3.9208 -1.1764 0.0853
1.3812 -2.7168 -0.9065
5.8128 -2.0361 -2.2571
5.1923 -3.8602 -0.8235
2.0017 -0.8927 -2.3401
```

Computed properties:
Space group ... P-3m1, No. 164
Final energy ... -6.51 eV/atom
D(E_F) ... 4.49 states/eV/cell
Size of the total moment ... 0.000 μB/f.u.

---

Computed, not measured: an optimized crystal structure of InB2Rh2 at the GGA-PBE level of DFT.

POSCAR file:
```
InB2Rh2
1.0
-5.0304 -2.7070 3.6021
4.4707 -2.3255 4.4958
-0.2358 2.4070 1.4796
B Rh In
4 4 2
Cartesian
2.0560 -0.5120 3.8771
0.7941 -2.5174 6.9385
-2.8514 -2.1136 5.7004
-1.5896 -0.1081 2.6390
2.0372 -2.9449 5.1155
-1.4090 -3.8141 5.9803
-2.5968 -2.0877 2.9823
0.8494 -1.2184 2.1175
0.0000 0.0000 0.0000
-0.2798 -2.5163 4.0489
```

Computed properties:
Space group ... P4/mbm, No. 127
Final energy ... -5.89 eV/atom
D(E_F) ... 2.47 states/eV/cell
Size of the total moment ... 0.000 μB/f.u.
Formation energy ... 0.27 eV/atom

---

Computed, not measured: an optimized crystal structure of Dy6ZnTe2 at the GGA-PBE level of DFT.

POSCAR file:
```
Dy6ZnTe2
1.0
5.3732 0.0000 0.0000
-2.6866 5.9383 -1.7290
0.0000 -3.7931 9.0924
Dy Zn Te
6 1 2
Cartesian
0.0000 -2.9642 7.5038
2.6866 1.5525 0.8947
0.0000 0.5927 6.4686
2.6866 -0.0065 3.9939
0.0000 2.1516 3.3695
2.6866 5.1093 -0.1404
0.0000 -1.8966 4.5462
2.6866 -1.2016 6.9262
0.0000 3.3467 0.4372
```

Computed properties:
Space group ... Fmmm, No. 69
Final energy ... -4.44 eV/atom
D(E_F) ... 9.92 states/eV/cell
Size of the total moment ... 0.000 μB/f.u.

---

Computed, not measured: an optimized crystal structure of NiTePbI2 at the GGA-PBE level of DFT.

POSCAR file:
```
NiTePbI2
1.0
-3.3757 -4.0453 3.1446
4.6510 -0.8392 3.9132
-2.1158 4.4646 3.4721
Pb I Te Ni
1 2 1 1
Cartesian
0.0000 0.0000 0.0000
2.3255 -0.4196 1.9566
-1.6879 -2.0227 1.5723
-1.0579 2.2323 1.7361
-0.4203 -0.2099 5.2650
```

Computed properties:
Space group ... P4/mmm, No. 123
Final energy ... -2.38 eV/atom
D(E_F) ... 8.48 states/eV/cell
Size of the total moment ... 1.591 μB/f.u.

---

Computed, not measured: an optimized crystal structure of NaMg2Cu at the GGA-PBE level of DFT.

POSCAR file:
```
NaMg2Cu
1.0
-3.1300 0.6622 0.3478
-0.7046 -3.1126 -0.4145
0.6463 -1.2338 8.1665
Na Mg Cu
1 2 1
Cartesian
-1.5941 -1.8421 4.0499
0.5271 -1.0062 6.6598
0.1192 -0.2276 1.5067
-1.9173 -1.2252 -0.0334
```

Computed properties:
Space group ... P4/mmm, No. 123
Final energy ... -2.13 eV/atom
D(E_F) ... 2.44 states/eV/cell
Size of the total moment ... 0.000 μB/f.u.
Formation energy ... 0.02 eV/atom

---

Computed, not measured: an optimized crystal structure of TmMg3 at the GGA-PBE level of DFT.

POSCAR file:
```
TmMg3
1.0
5.1340 0.0000 0.0000
0.0000 5.1340 0.0000
-2.5670 -2.5670 3.6687
Mg Tm
3 1
Cartesian
2.5670 0.0000 1.8343
0.0000 2.5670 1.8343
2.5670 2.5670 0.0000
0.0000 0.0000 0.0000
```

Computed properties:
Space group ... I4/mmm, No. 139
Final energy ... -2.36 eV/atom
D(E_F) ... 2.16 states/eV/cell
Size of the total moment ... 0.000 μB/f.u.
Formation energy ... -0.05 eV/atom

---

Computed, not measured: an optimized crystal structure of CeGdTlHg at the GGA-PBE level of DFT.

POSCAR file:
```
CeGdTlHg
1.0
-3.6479 3.8416 1.1593
-2.0214 0.3944 5.0167
1.3813 4.1862 3.1586
Tl Gd Hg Ce
1 1 1 1
Cartesian
0.0000 0.0000 0.0000
-3.2160 6.3166 7.0009
-2.1440 4.2111 4.6673
-1.0720 2.1055 2.3336
```

Computed properties:
Space group ... F-43m, No. 216
Final energy ... -6.03 eV/atom
D(E_F) ... 11.11 states/eV/cell
Size of the total moment ... 9.071 μB/f.u.
Formation energy ... -0.35 eV/atom

---

Computed, not measured: an optimized crystal structure of CoOs2Ru at the GGA-PBE level of DFT.

POSCAR file:
```
CoOs2Ru
1.0
4.6041 -0.0043 0.0000
1.5182 4.3466 0.0000
-3.0611 -2.1711 2.6671
Co Os Ru
1 2 1
Cartesian
2.3020 -0.0022 1.3335
0.0000 0.0000 0.0000
0.7591 2.1733 1.3335
3.0611 2.1711 0.0000
```

Computed properties:
Space group ... I-4m2, No. 119
Final energy ... -9.55 eV/atom
D(E_F) ... 4.17 states/eV/cell
Size of the total moment ... 0.000 μB/f.u.
Formation energy ... 0.16 eV/atom

---

Computed, not measured: an optimized crystal structure of Pr8Nd4Sm at the GGA-PBE level of DFT.

POSCAR file:
```
Pr8Nd4Sm
1.0
-11.0273 2.8330 3.7403
3.0722 -11.4943 -1.4351
7.5635 1.8052 1.7331
Pr Nd Sm
8 4 1
Cartesian
-1.2931 -6.7558 1.3047
0.9014 -0.1004 2.7337
-3.1416 -0.9659 1.0112
6.7513 -1.5337 1.8676
2.7500 -5.8903 3.0271
8.2966 -7.3152 1.1457
-8.6882 0.4590 2.8926
-7.1430 -5.3225 2.1708
0.0000 0.0000 0.0000
1.5361 -5.7472 -0.7175
-3.9776 -4.3307 1.1526
-5.5136 1.4165 1.8702
5.3178 -4.8446 0.1490
```

Computed properties:
Space group ... R-3m, No. 166
Final energy ... -4.39 eV/atom
D(E_F) ... 26.58 states/eV/cell
Size of the total moment ... 0.000 μB/f.u.
Formation energy ... 0.38 eV/atom

---

Computed, not measured: an optimized crystal structure of LiTmMnIn at the GGA-PBE level of DFT.

POSCAR file:
```
LiTmMnIn
1.0
4.8047 0.0000 0.0000
2.4023 4.1610 0.0000
2.4023 1.3870 3.9230
Tm Li Mn In
1 1 1 1
Cartesian
7.2070 4.1610 2.9423
0.0000 0.0000 0.0000
4.8047 2.7740 1.9615
2.4023 1.3870 0.9808
```

Computed properties:
Space group ... F-43m, No. 216
Final energy ... -4.65 eV/atom
D(E_F) ... 2.97 states/eV/cell
Size of the total moment ... 3.907 μB/f.u.
Formation energy ... -0.08 eV/atom

---

Computed, not measured: an optimized crystal structure of TaBeOs2 at the GGA-PBE level of DFT.

POSCAR file:
```
TaBeOs2
1.0
5.0601 0.0047 -0.0049
4.1191 2.9391 -0.0049
1.7620 0.5651 3.7707
Be Os Ta
1 2 1
Cartesian
8.1033 2.5988 2.8538
1.8593 0.5963 3.7378
2.7674 0.8875 0.9117
5.4438 1.7459 1.9090
```

Computed properties:
Space group ... Cm, No. 8
Final energy ... -9.60 eV/atom
D(E_F) ... 1.87 states/eV/cell
Size of the total moment ... 0.000 μB/f.u.
Formation energy ... -0.09 eV/atom

---

Computed, not measured: an optimized crystal structure of Tb2Pm7Pr2 at the GGA-PBE level of DFT.

POSCAR file:
```
Tb2Pm7Pr2
1.0
-1.6386 -7.1977 3.5804
4.8405 -1.0242 -3.6340
6.5943 0.8807 4.8010
Tb Pm Pr
2 7 2
Cartesian
6.2895 -5.4442 4.7269
3.5067 -1.8970 0.0205
0.5167 -3.0888 1.0798
6.6136 -0.8543 -0.8411
9.2795 -4.2525 3.6676
3.1826 -6.4869 5.5885
4.0982 -2.7173 3.5652
0.0000 0.0000 0.0000
5.6980 -4.6240 1.1822
7.5982 -1.5786 2.3539
2.1980 -5.7626 2.3935
```

Computed properties:
Space group ... C2/m, No. 12
Final energy ... -4.60 eV/atom
D(E_F) ... 15.74 states/eV/cell
Size of the total moment ... 0.000 μB/f.u.
Formation energy ... 0.14 eV/atom

---

Computed, not measured: an optimized crystal structure of DyPuGa2O8 at the GGA-PBE level of DFT.

POSCAR file:
```
DyPuGa2O8
1.0
4.7807 0.2357 0.1971
0.2887 4.7785 0.1958
0.2968 0.2967 6.9734
Dy Pu Ga O
1 1 2 8
Cartesian
0.1484 0.1483 3.4867
0.0000 0.0000 0.0000
2.5529 2.5271 5.0869
2.8133 2.7837 2.2795
1.3363 3.9170 1.8015
3.7373 3.6996 0.6294
3.9326 1.2960 1.8018
4.0300 1.3938 5.5648
1.6290 1.6112 6.7370
1.4337 4.0148 5.5645
3.6126 3.5767 3.8050
1.7537 1.7341 3.5614
```

Computed properties:
Space group ... C2/m, No. 12
Final energy ... -7.66 eV/atom
Size of the total moment ... 0.987 μB/f.u.

---

Computed, not measured: an optimized crystal structure of ErB4Ir at the GGA-PBE level of DFT.

POSCAR file:
```
ErB4Ir
1.0
-1.4266 -0.9348 -3.1272
-2.9510 -4.4247 2.6690
-8.9005 7.1043 1.9366
Er B Ir
4 16 4
Cartesian
-4.9915 -0.2998 2.3668
-6.8600 2.9795 2.2389
-1.7124 0.4729 0.6398
-10.1391 2.2068 3.9658
-4.7231 -2.6393 0.9150
-8.5550 4.3842 0.5635
-4.3550 0.4569 -0.1786
-8.9232 1.2880 1.6570
-3.5332 -4.0747 0.8012
-9.7450 5.8195 0.6773
-5.9675 1.2585 0.3174
-7.3106 0.4863 1.1610
-7.3644 -1.1760 1.6825
-5.9137 2.9209 -0.2040
-2.2751 -1.8482 -0.4383
-11.0030 3.5930 1.9168
-6.3310 -2.6047 1.6381
-6.9471 4.3495 -0.1597
-3.8341 -1.2077 0.0814
-9.4440 2.9525 1.3970
-2.7666 -2.1641 1.9091
-9.0849 4.8438 2.6966
-4.0142 2.2219 1.1671
-7.8373 0.4578 3.4385
```

Computed properties:
Space group ... Pbam, No. 55
Final energy ... -7.30 eV/atom
D(E_F) ... 3.27 states/eV/cell
Size of the total moment ... 0.000 μB/f.u.
Formation energy ... -0.61 eV/atom

---

Computed, not measured: an optimized crystal structure of PIr2 at the GGA-PBE level of DFT.

POSCAR file:
```
PIr2
1.0
-8.9306 15.4359 -2.3581
-11.3422 13.9162 1.1297
11.5443 -13.6441 2.0373
P Ir
4 8
Cartesian
-18.8480 27.2892 -1.1421
-1.4248 2.0629 -0.0863
-3.5424 5.4112 1.3627
-6.3919 9.5370 1.1901
-14.7164 21.3072 -0.8917
-5.5564 8.0449 -0.3367
-8.3414 14.8651 -0.7450
0.8187 1.6027 -0.1900
-12.0314 17.4197 -0.7290
-8.2414 11.9324 -0.4994
-5.6564 10.9776 -0.5823
-1.8664 5.4902 -0.3527
```

Computed properties:
Space group ... I4_1/amd, No. 141
Final energy ... -7.70 eV/atom
D(E_F) ... 8.24 states/eV/cell
Size of the total moment ... 0.000 μB/f.u.
Formation energy ... 0.01 eV/atom

---

Computed, not measured: an optimized crystal structure of HfCoRe2 at the GGA-PBE level of DFT.

POSCAR file:
```
HfCoRe2
1.0
0.0000 3.1222 3.1222
3.1222 0.0000 3.1222
3.1222 3.1222 0.0000
Re Hf Co
2 1 1
Cartesian
1.5611 1.5611 1.5611
4.6834 4.6834 4.6834
3.1222 3.1222 3.1222
0.0000 0.0000 0.0000
```

Computed properties:
Space group ... Fm-3m, No. 225
Final energy ... -10.20 eV/atom
D(E_F) ... 8.91 states/eV/cell
Size of the total moment ... 0.000 μB/f.u.
Formation energy ... 0.29 eV/atom

---

Computed, not measured: an optimized crystal structure of La4CdSiI2 at the GGA-PBE level of DFT.

POSCAR file:
```
La4CdSiI2
1.0
-0.8956 -1.9341 3.8966
-5.3932 -4.7629 -3.6037
7.0498 -3.6962 -0.2144
La Cd Si I
4 1 1 2
Cartesian
-0.1425 -2.8040 1.1067
0.9035 -7.5893 -1.0282
4.1478 -4.0157 -1.0400
-2.4912 -4.4434 -2.7782
-3.1444 -3.3485 0.1464
0.0000 0.0000 0.0000
3.0771 -2.8152 1.8411
0.8283 -4.2296 -1.9091
```

Computed properties:
Space group ... P2/m, No. 10
Final energy ... -4.42 eV/atom
D(E_F) ... 6.25 states/eV/cell
Size of the total moment ... 0.000 μB/f.u.

---

Computed, not measured: an optimized crystal structure of NdAl2Cu at the GGA-PBE level of DFT.

POSCAR file:
```
NdAl2Cu
1.0
-2.3791 1.8565 -2.9038
-0.1034 -1.5141 -3.9033
-5.0211 -3.1226 -0.9025
Nd Al Cu
1 2 1
Cartesian
0.0000 0.0000 0.0000
-5.0932 -1.6725 -5.9565
-2.4105 -1.1076 -1.7532
-3.7518 -1.3901 -3.8548
```

Computed properties:
Space group ... R-3m, No. 166
Final energy ... -4.46 eV/atom
D(E_F) ... 2.45 states/eV/cell
Size of the total moment ... 0.000 μB/f.u.
Formation energy ... -0.37 eV/atom

---

Computed, not measured: an optimized crystal structure of CrCdPt2 at the GGA-PBE level of DFT.

POSCAR file:
```
CrCdPt2
1.0
2.8103 0.0000 0.0000
0.0000 2.8103 0.0000
0.0000 0.0000 8.0420
Cd Cr Pt
1 1 2
Cartesian
0.0000 0.0000 4.0658
1.4052 1.4052 6.2190
0.0000 0.0000 7.8858
1.4052 1.4052 1.9343
```

Computed properties:
Space group ... P4mm, No. 99
Final energy ... -5.64 eV/atom
D(E_F) ... 3.17 states/eV/cell
Size of the total moment ... 1.458 μB/f.u.
Formation energy ... 0.01 eV/atom

---

Computed, not measured: an optimized crystal structure of SrAcB2O6 at the GGA-PBE level of DFT.

POSCAR file:
```
SrAcB2O6
1.0
6.7437 -0.0340 0.0204
-0.8594 6.6888 0.0204
-1.6840 -1.9045 6.6920
Sr Ac B O
2 2 4 12
Cartesian
0.0351 5.0495 1.6934
4.1653 -0.2992 5.0394
3.4450 2.0344 1.6934
0.7553 2.7160 5.0394
0.9031 -0.4014 4.8992
3.8673 2.9509 5.1796
3.2972 5.1517 1.8336
0.3330 1.7994 1.5532
5.8694 1.9524 0.9475
3.8233 -0.3617 2.4393
-1.6690 2.7980 5.7853
0.3771 5.1120 4.2935
1.1879 0.7885 1.1745
4.4052 4.4271 2.2123
3.0125 3.9619 5.5583
-0.2049 0.3233 4.5205
0.7934 2.6918 2.5122
2.4679 4.5856 0.8747
3.4069 2.0585 4.2207
1.7324 0.1648 5.8582
```

Computed properties:
Space group ... C2/c, No. 15
Final energy ... -7.62 eV/atom
D(E_F) ... 7.01 states/eV/cell
Size of the total moment ... 1.019 μB/f.u.